[1]
Bi12PtCl12 | PBE | optimized geometry

calculated volume	34.9	Å³/atom
size of the total moment	0.00	Bohr magnetons per cell
theoretical density	5.9	Mg/m³
formation energy without anion corrections	-0.63	eV/atom

Cell: 9.487 9.523 9.677 Å, 90.38 90.82 91.87°
Fractional positions:
Bi 0.000 0.000 0.000
Bi 0.003 0.544 0.416
Bi 0.243 0.044 0.680
Bi 0.254 0.325 0.974
Bi 0.315 0.753 0.947
Bi 0.332 0.033 0.244
Bi 0.570 0.081 0.922
Bi 0.584 0.513 0.464
Bi 0.760 0.548 0.199
Bi 0.774 0.796 0.384
Bi 0.820 0.649 0.678
Bi 0.825 0.348 0.602
Pt 0.285 0.039 0.962
Cl 0.025 0.702 0.983
Cl 0.036 0.986 0.290
Cl 0.210 0.336 0.687
Cl 0.267 0.753 0.663
Cl 0.297 0.327 0.262
Cl 0.362 0.743 0.236
Cl 0.532 0.085 0.636
Cl 0.543 0.373 0.931
Cl 0.607 0.787 0.908
Cl 0.621 0.073 0.213
Cl 0.948 0.007 0.714
Cl 0.963 0.286 0.012

---

[2]
P2OsW | PBE | optimized geometry

calculated volume	14.5	Å³/atom
formation energy from the elements	0.430	eV per atom
size of the total moment	0.00	Bohr magnetons per cell
theoretical density	12.5	Mg/m³
density of states at the Fermi level	2.72	states/eV/f.u.

Cell: 4.862 4.862 4.862 Å, 144.63 117.54 73.87°
Fractional positions:
P 0.243 0.243 0.000
P 0.757 0.757 0.000
Os 0.000 0.500 0.500
W 0.500 0.000 0.500

---

[3]
Cs2NbCuBr6 | PBE | optimized geometry

calculated volume	31.7	Å³/atom
size of the total moment	2.00	Bohr magnetons per cell
theoretical density	4.7	Mg/m³
density of states at the Fermi level	11.24	states/eV/f.u.
formation energy without anion corrections	-1.04	eV/atom

Cell: 7.660 7.660 7.660 Å, 120.16 120.16 89.72°
Fractional positions:
Cs 0.250 0.750 0.500
Cs 0.750 0.250 0.500
Nb 0.000 0.000 0.000
Cu 0.500 0.500 0.000
Br 0.247 0.247 0.000
Br 0.249 0.249 0.497
Br 0.249 0.751 0.000
Br 0.751 0.249 0.000
Br 0.751 0.751 0.503
Br 0.753 0.753 0.000

---

[4]
PmDy3YTm | PBE | optimized geometry

calculated volume	32.3	Å³/atom
formation energy from the elements	0.205	eV per atom
size of the total moment	0.00	Bohr magnetons per cell
theoretical density	7.6	Mg/m³
density of states at the Fermi level	9.41	states/eV/f.u.

Cell: 10.298 10.298 6.917 Å, 90.20 90.20 31.93°
Fractional positions:
Pm 0.145 0.145 0.023
Pm 0.855 0.855 0.977
Dy 0.022 0.022 0.738
Dy 0.280 0.280 0.758
Dy 0.337 0.337 0.272
Dy 0.663 0.663 0.728
Dy 0.720 0.720 0.242
Dy 0.978 0.978 0.262
Y 0.445 0.445 0.733
Y 0.555 0.555 0.267
Tm 0.150 0.150 0.460
Tm 0.850 0.850 0.540